3
Lattice="0.0000 3.0792 3.0792 3.0792 0.0000 3.0792 3.0792 3.0792 0.0000" Properties=species:S:1:pos:R:3 comment="CdCoSn | OQMD | PBE-GGA | optimized geometry" magmom_total_mub_per_cell=0.24 spacegroup=F-43m total_energy_ev_per_cell=-11.67 pbc="T T T"
Cd 1.5396 1.5396 1.5396
Sn 4.6188 4.6188 4.6188
Co 0.0000 0.0000 0.0000

=====

7
Lattice="-3.9420 2.0182 6.1211 -3.8283 -2.3961 6.0566 -0.3497 -0.1192 7.5461" Properties=species:S:1:pos:R:3 comment="Sc2Mo2Os3 | OQMD | PBE-GGA | optimized geometry" magmom_total_mub_per_cell=0.00 spacegroup=R3m total_energy_ev_per_cell=-68.30 ef_ev_per_atom=-0.04 pbc="T T T"
Mo -4.0956 -0.2507 9.9484
Os -3.0291 -0.1854 7.3577
Sc -1.9876 -0.1217 4.8280
Os -5.0742 -0.3106 12.3254
Sc -6.1493 -0.3765 14.9367
Mo -8.1078 -0.4964 19.6939
Os -0.9916 -0.0607 2.4086

=====

12
Lattice="3.9487 0.0000 0.0000 -1.9743 3.4197 0.0000 0.0000 0.0000 14.9070" Properties=species:S:1:pos:R:3 comment="TmHfNi2As2 | OQMD | PBE-GGA | optimized geometry" magmom_total_mub_per_cell=0.00 relative_energy_kcal_per_mol_atoms=1.86 spacegroup=P6_3/mmc total_energy_ev_per_cell=-80.55 pbc="T T T"
As 1.9743 1.1399 9.2659
Hf 0.0000 0.0000 0.0000
Tm 0.0000 0.0000 3.7267
Ni 1.9743 1.1399 5.7676
Tm 0.0000 0.0000 11.1802
Hf 0.0000 0.0000 7.4535
Ni 1.9743 1.1399 1.6859
As 0.0000 2.2798 1.8124
Ni 0.0000 2.2798 9.1393
As 0.0000 2.2798 5.6410
As 1.9743 1.1399 13.0945
Ni 0.0000 2.2798 13.2211

=====

3
Lattice="0.0000 3.6871 3.6871 3.6871 0.0000 3.6871 3.6871 3.6871 0.0000" Properties=species:S:1:pos:R:3 comment="RbBeCd | OQMD | PBE-GGA | optimized geometry" relative_energy_kcal_per_mol_atoms=0.00 spacegroup=F-43m total_energy_ev_per_cell=-3.14 pbc="T T T"
Rb 5.5306 5.5306 5.5306
Be 0.0000 0.0000 0.0000
Cd 1.8435 1.8435 1.8435

=====

9
Lattice="4.5043 0.0000 0.0000 0.0000 6.3408 3.6451 0.0000 -6.3408 3.6451" Properties=species:S:1:pos:R:3 comment="TbTm2TlCd3Ga2 | OQMD | PBE-GGA | optimized geometry" magmom_total_mub_per_cell=0.00 spacegroup=Amm2 total_energy_ev_per_cell=-28.51 pbc="T T T"
Tb 0.0000 0.0000 4.1248
Cd 2.2521 -1.6504 6.3378
Tm 0.0000 3.5821 5.2251
Cd 2.2521 1.6504 6.3378
Cd 2.2521 0.0000 1.8998
Ga 2.2521 -2.1306 3.6408
Tl 0.0000 0.0000 0.0191
Ga 2.2521 2.1306 3.6408
Tm 0.0000 -3.5821 5.2251

=====

8
Lattice="3.9474 -6.8332 0.0000 3.9474 6.8332 0.0000 -2.5958 0.0000 7.6455" Properties=species:S:1:pos:R:3 comment="PmI3 | OQMD | PBE-GGA | optimized geometry" magmom_total_mub_per_cell=0.00 spacegroup=C2/m total_energy_ev_per_cell=-30.17 pbc="T T T"
I 5.3661 2.4585 1.8041
Pm 3.9474 -4.5583 0.0000
I -0.0670 2.4585 5.8414
I 5.3661 -2.4585 1.8041
Pm 3.9474 4.5583 0.0000
I -0.0670 -2.4585 5.8414
I 4.2090 0.0000 5.8261
I 1.0901 0.0000 1.8194

=====

6
Lattice="3.9883 0.0000 0.0000 0.0000 3.9883 0.0000 0.0000 0.0000 7.9005" Properties=species:S:1:pos:R:3 comment="TlFeAs | OQMD | PBE-GGA | optimized geometry" magmom_total_mub_per_cell=0.27 relative_energy_kcal_per_mol_atoms=0.00 spacegroup=P4/nmm total_energy_ev_per_cell=-30.89 pbc="T T T"
Fe 1.9941 1.9941 3.9503
Tl 0.0000 1.9941 6.6695
Fe 0.0000 0.0000 3.9503
As 0.0000 1.9941 2.7575
Tl 1.9941 0.0000 1.2310
As 1.9941 0.0000 5.1430

=====

3
Lattice="0.0000 3.3603 3.3603 3.3603 0.0000 3.3603 3.3603 3.3603 0.0000" Properties=species:S:1:pos:R:3 comment="UTlZn | OQMD | PBE-GGA | optimized geometry" magmom_total_mub_per_cell=2.92 spacegroup=F-43m total_energy_ev_per_cell=-13.42 pbc="T T T"
U 5.0404 5.0404 5.0404
Tl 1.6801 1.6801 1.6801
Zn 0.0000 0.0000 0.0000

=====

11
Lattice="-0.4852 -0.3478 4.7018 -4.2895 -1.9289 -0.5854 5.2041 -11.4782 -0.3120" Properties=species:S:1:pos:R:3 comment="Gd2Tl8Co | OQMD | PBE-GGA | optimized geometry" magmom_total_mub_per_cell=0.03 spacegroup=P4/mmm total_energy_ev_per_cell=-36.30 pbc="T T T"
Tl -1.5218 -2.3383 -0.3300
Tl 1.1983 -9.0468 1.8432
Tl 4.3386 -10.2782 2.0762
Gd 1.5743 -3.4721 -0.0944
Tl 2.4365 -11.0687 -0.5674
Co 0.0000 0.0000 0.0000
Gd 3.6299 -8.0060 -0.2176
Tl 0.4573 -6.7035 -0.4487
Tl 0.3803 -1.5478 2.3135
Tl 2.3594 -5.9130 2.1949
Tl -0.7689 -4.7081 1.9612

=====

3
Lattice="0.0000 3.5811 3.5811 3.5811 0.0000 3.5811 3.5811 3.5811 0.0000" Properties=species:S:1:pos:R:3 comment="LiPuPb | OQMD | PBE-GGA | optimized geometry" magmom_total_mub_per_cell=5.54 relative_energy_kcal_per_mol_atoms=8.46 spacegroup=F-43m total_energy_ev_per_cell=-18.62 pbc="T T T"
Li 3.5811 3.5811 3.5811
Pb 0.0000 0.0000 0.0000
Pu 1.7906 1.7906 1.7906

=====

18
Lattice="-4.1592 7.7673 4.2546 1.5960 -9.5682 -1.2780 10.0566 0.4818 8.9515" Properties=species:S:1:pos:R:3 comment="Ba2GdInSe5 | OQMD | PBE-GGA | optimized geometry" magmom_total_mub_per_cell=0.02 spacegroup=Cmc2_1 total_energy_ev_per_cell=-86.74 pbc="T T T"
Ba 7.7336 -6.9462 5.5936
Ba 4.7512 6.1260 10.9345
Se 1.1052 -0.8743 3.5594
Se 10.8537 -8.2467 7.4936
Se 6.1428 -3.8317 6.1081
Se -1.0338 2.3984 3.6976
Ba -1.5284 5.5654 5.1878
Gd 1.9065 4.3444 7.4069
Se 9.5942 -2.9036 9.6417
Se 2.9161 1.8249 6.7519
Se 6.0758 -0.4598 8.0905
Se 5.9792 3.1278 10.1779
In -0.9476 0.0359 2.3424
Gd 10.2629 -5.4394 8.6833
Ba 4.1263 -7.3788 2.2256
In 4.6822 -1.5350 6.2399
Se 0.6441 7.1195 7.9988
Se 3.3563 -4.3586 3.3898

=====

9
Lattice="5.3149 0.0000 0.0000 -2.6574 4.6028 0.0000 0.0000 0.0000 6.9262" Properties=species:S:1:pos:R:3 comment="KFe3S5 | OQMD | PBE-GGA | optimized geometry" magmom_total_mub_per_cell=6.77 spacegroup=P6/mmm total_energy_ev_per_cell=-50.47 pbc="T T T"
Fe -1.3287 2.3014 3.4631
Fe 1.3287 2.3014 3.4631
S 0.0000 3.0686 1.8272
S 2.6574 1.5343 5.0990
S 0.0000 3.0686 5.0990
S 2.6574 1.5343 1.8272
S 0.0000 0.0000 3.4631
K 0.0000 0.0000 0.0000
Fe 2.6574 0.0000 3.4631